[1]
DFT (GGA-PBE) results for a relaxed structure of CuBiPd.

```
CuBiPd
1.0
-1.761 3.074 -0.953
-2.024 -0.216 -4.061
-6.289 -1.945 4.899
Cu Bi Pd
2 2 2
Direct
0.663 0.177 0.950
0.337 0.823 0.050
0.674 0.132 0.328
0.326 0.868 0.672
0.989 0.532 0.831
0.011 0.468 0.169
```

electronic total energy = -4.48 eV/atom
total magnetic moment = 0.00 Bohr magnetons per cell
ΔE to the lowest computed polymorph = 0.000 eV/atom
space-group type = No. 2

***

[2]
DFT (GGA-PBE) results for a relaxed structure of Cu6BiPd12.

```
Cu6BiPd12
1.0
-4.766 5.159 1.636
-3.660 -5.391 -3.090
2.656 -2.507 6.218
Cu Bi Pd
6 1 12
Direct
0.698 0.299 0.299
0.299 0.299 0.698
0.299 0.698 0.299
0.701 0.701 0.302
0.302 0.701 0.701
0.701 0.302 0.701
0.000 0.000 0.000
0.881 0.119 0.500
0.887 0.642 0.642
0.642 0.642 0.887
0.358 0.113 0.358
0.358 0.358 0.113
0.113 0.358 0.358
0.119 0.500 0.881
0.500 0.881 0.119
0.119 0.881 0.500
0.881 0.500 0.119
0.500 0.119 0.881
0.642 0.887 0.642
```

electronic total energy = -4.67 eV/atom
total magnetic moment = 0.00 Bohr magnetons per cell
ΔE to the lowest computed polymorph = 0.211 eV/atom
space-group type = No. 166

***

[3]
DFT (GGA-PBE) results for a relaxed structure of Cu2BiPd9.

```
Cu2BiPd9
1.0
-2.510 1.092 2.924
-0.572 -3.849 0.947
8.996 0.515 7.530
Cu Bi Pd
2 1 9
Direct
0.000 0.000 0.343
0.000 0.000 0.657
0.000 0.000 0.000
0.500 0.500 0.000
0.500 0.500 0.341
0.500 0.500 0.659
0.500 0.000 0.182
0.500 0.000 0.500
0.500 0.000 0.818
0.000 0.500 0.182
0.000 0.500 0.500
0.000 0.500 0.818
```

electronic total energy = -5.01 eV/atom
total magnetic moment = 0.00 Bohr magnetons per cell
space-group type = No. 123

***

[4]
DFT (GGA-PBE) results for a relaxed structure of Cu6BiPd12.

```
Cu6BiPd12
1.0
6.494 0.000 2.082
-3.223 6.004 2.607
0.048 0.000 7.296
Cu Bi Pd
6 1 12
Direct
0.426 0.474 0.213
0.049 0.687 0.526
0.362 0.787 0.687
0.574 0.526 0.787
0.951 0.313 0.474
0.638 0.213 0.313
0.000 0.000 0.000
0.517 0.846 0.274
0.671 0.880 0.846
0.791 0.274 0.880
0.483 0.154 0.726
0.329 0.120 0.154
0.209 0.726 0.120
0.265 0.433 0.623
0.113 0.377 0.056
0.168 0.056 0.567
0.735 0.567 0.377
0.887 0.623 0.944
0.832 0.944 0.433
```

electronic total energy = -4.88 eV/atom
total magnetic moment = 0.00 Bohr magnetons per cell
ΔE to the lowest computed polymorph = 0.000 eV/atom
space-group type = No. 148

***

[5]
DFT (GGA-PBE) results for a relaxed structure of CuBi2Pd4.

```
CuBi2Pd4
1.0
4.655 0.000 0.000
0.000 4.655 0.000
2.327 2.327 6.929
Cu Bi Pd
1 2 4
Direct
0.000 0.000 0.000
0.630 0.630 0.740
0.370 0.370 0.260
0.822 0.822 0.356
0.178 0.178 0.644
0.000 0.500 0.000
0.500 0.000 0.000
```

electronic total energy = -4.48 eV/atom
total magnetic moment = 0.00 Bohr magnetons per cell
space-group type = No. 139

***

[6]
DFT (GGA-PBE) results for a relaxed structure of Cu2Bi2Pd.

```
Cu2Bi2Pd
1.0
-0.520 1.880 -7.359
-0.166 -7.378 -1.873
-3.622 0.016 0.260
Cu Bi Pd
4 4 2
Direct
0.117 0.617 0.500
0.617 0.883 0.500
0.883 0.383 0.500
0.383 0.117 0.500
0.321 0.821 0.000
0.821 0.679 0.000
0.679 0.179 0.000
0.179 0.321 0.000
0.000 0.000 0.000
0.500 0.500 0.000
```

electronic total energy = -4.01 eV/atom
total magnetic moment = 0.00 Bohr magnetons per cell
ΔE to the lowest computed polymorph = 0.163 eV/atom
space-group type = No. 127

***

[7]
DFT (GGA-PBE) results for a relaxed structure of PmCuBiPd.

```
PmCuBiPd
1.0
4.944 0.000 0.000
2.472 4.282 0.000
2.472 1.427 4.037
Cu Bi Pd Pm
1 1 1 1
Direct
0.250 0.250 0.250
0.500 0.500 0.500
0.750 0.750 0.750
0.000 0.000 0.000
```

electronic total energy = -4.95 eV/atom
total magnetic moment = 0.00 Bohr magnetons per cell
space-group type = No. 216

***

[8]
DFT (GGA-PBE) results for a relaxed structure of CuBiPdPt.

```
CuBiPdPt
1.0
-4.409 0.751 -1.196
-3.428 -1.617 2.659
-2.599 2.934 2.463
Pd Bi Pt Cu
1 1 1 1
Direct
0.250 0.250 0.250
0.000 0.000 0.000
0.750 0.750 0.750
0.500 0.500 0.500
```

electronic total energy = -4.88 eV/atom
total magnetic moment = 0.00 Bohr magnetons per cell
space-group type = No. 216

***

[9]
DFT (GGA-PBE) results for a relaxed structure of PuCuBiPd.

```
PuCuBiPd
1.0
-3.093 -0.613 -3.768
1.759 -0.801 -4.517
-0.493 -4.424 -2.079
Cu Bi Pd Pu
1 1 1 1
Direct
0.250 0.250 0.250
0.000 0.000 0.000
0.750 0.750 0.750
0.500 0.500 0.500
```

electronic total energy = -7.10 eV/atom
total magnetic moment = 5.44 Bohr magnetons per cell
space-group type = No. 216

***

[10]
DFT (GGA-PBE) results for a relaxed structure of CuBiPdRh.

```
CuBiPdRh
1.0
4.566 0.000 0.000
2.283 3.954 0.000
2.283 1.318 3.728
Cu Rh Bi Pd
1 1 1 1
Direct
0.250 0.250 0.250
0.000 0.000 0.000
0.750 0.750 0.750
0.500 0.500 0.500
```

electronic total energy = -5.17 eV/atom
total magnetic moment = 0.00 Bohr magnetons per cell
space-group type = No. 216

***

[11]
DFT (GGA-PBE) results for a relaxed structure of CuBiPd2S2.

```
CuBiPd2S2
1.0
-0.471 3.538 1.856
-0.535 0.125 3.985
8.812 1.804 3.156
Cu Bi Pd S
1 1 2 2
Direct
0.500 0.500 0.500
0.000 0.000 0.000
0.732 0.732 0.804
0.268 0.268 0.196
0.577 0.577 0.269
0.423 0.423 0.731
```

electronic total energy = -4.59 eV/atom
total magnetic moment = 0.00 Bohr magnetons per cell
E_form (uncorrected) = -152 meV/atom
space-group type = No. 166

***

[12]
DFT (GGA-PBE) results for a relaxed structure of ScCuBiPd.

```
ScCuBiPd
1.0
4.752 0.000 0.000
2.376 4.115 0.000
2.376 1.372 3.880
Sc Cu Bi Pd
1 1 1 1
Direct
0.000 0.000 0.000
0.250 0.250 0.250
0.500 0.500 0.500
0.750 0.750 0.750
```

electronic total energy = -5.26 eV/atom
total magnetic moment = 0.00 Bohr magnetons per cell
space-group type = No. 216

***

[13]
DFT (GGA-PBE) results for a relaxed structure of CuBiPd2Se2.

```
CuBiPd2Se2
1.0
4.122 0.000 0.000
2.061 3.570 0.000
2.061 1.190 9.744
Cu Bi Pd Se
1 1 2 2
Direct
0.500 0.500 0.500
0.000 0.000 0.000
0.726 0.726 0.823
0.274 0.274 0.177
0.578 0.578 0.267
0.422 0.422 0.733
```

electronic total energy = -4.35 eV/atom
total magnetic moment = 0.00 Bohr magnetons per cell
E_form (uncorrected) = -131 meV/atom
space-group type = No. 166

***

[14]
DFT (GGA-PBE) results for a relaxed structure of SmCuBiPd.

```
SmCuBiPd
1.0
-0.307 -4.346 -2.308
4.092 -2.583 -0.947
0.909 -4.171 2.467
Pd Bi Sm Cu
1 1 1 1
Direct
0.750 0.750 0.750
0.000 0.000 0.000
0.500 0.500 0.500
0.250 0.250 0.250
```

electronic total energy = -4.95 eV/atom
total magnetic moment = 0.00 Bohr magnetons per cell
space-group type = No. 216

***

[15]
DFT (GGA-PBE) results for a relaxed structure of CuSnBiPd2.

```
CuSnBiPd2
1.0
-1.419 4.544 1.436
-5.014 -2.100 1.692
1.881 -0.843 4.525
Cu Bi Pd Sn
1 1 2 1
Direct
0.500 0.500 0.500
0.000 0.500 0.000
0.000 0.000 0.500
0.500 0.000 0.000
0.000 0.000 0.000
```

electronic total energy = -3.69 eV/atom
total magnetic moment = 0.00 Bohr magnetons per cell
ΔE to the lowest computed polymorph = 0.274 eV/atom
space-group type = No. 123

***

[16]
DFT (GGA-PBE) results for a relaxed structure of CuSnBiPd2.

```
CuSnBiPd2
1.0
5.139 0.000 0.000
0.000 4.868 0.000
0.000 0.000 5.139
Cu Bi Pd Sn
1 1 2 1
Direct
0.000 0.500 0.000
0.000 0.000 0.000
0.000 0.000 0.500
0.500 0.000 0.000
0.500 0.500 0.500
```

electronic total energy = -3.96 eV/atom
total magnetic moment = 0.00 Bohr magnetons per cell
ΔE to the lowest computed polymorph = 0.000 eV/atom
space-group type = No. 123

***

[17]
DFT (GGA-PBE) results for a relaxed structure of Sr2Cu2BiPd5.

```
Sr2Cu2BiPd5
1.0
3.899 0.000 0.000
0.000 9.981 0.000
0.000 0.000 9.981
Sr Cu Bi Pd
4 4 2 10
Direct
0.000 0.676 0.176
0.000 0.324 0.824
0.000 0.176 0.324
0.000 0.824 0.676
0.000 0.121 0.621
0.000 0.879 0.379
0.000 0.621 0.879
0.000 0.379 0.121
0.000 0.000 0.000
0.000 0.500 0.500
0.500 0.216 0.066
0.500 0.784 0.934
0.500 0.066 0.784
0.500 0.716 0.434
0.500 0.934 0.216
0.500 0.284 0.566
0.500 0.566 0.716
0.500 0.434 0.284
0.500 0.500 0.000
0.500 0.000 0.500
```

electronic total energy = -4.62 eV/atom
total magnetic moment = 0.00 Bohr magnetons per cell
space-group type = No. 127

***

[18]
DFT (GGA-PBE) results for a relaxed structure of TbCuBiPd.

```
TbCuBiPd
1.0
-4.815 0.835 0.106
-3.069 -3.117 -2.181
-2.916 -2.849 2.697
Cu Tb Bi Pd
1 1 1 1
Direct
0.250 0.250 0.250
0.000 0.000 0.000
0.500 0.500 0.500
0.750 0.750 0.750
```

electronic total energy = -4.92 eV/atom
total magnetic moment = 0.00 Bohr magnetons per cell
space-group type = No. 216

***

[19]
DFT (GGA-PBE) results for a relaxed structure of TiCuBi2Pd.

```
TiCuBi2Pd
1.0
-2.402 -1.665 4.180
1.534 -4.304 -0.833
4.172 0.950 2.775
Cu Bi Pd Ti
1 2 1 1
Direct
0.000 0.000 0.000
0.000 0.000 0.500
0.500 0.000 0.000
0.000 0.500 0.000
0.500 0.500 0.500
```

electronic total energy = -4.42 eV/atom
total magnetic moment = 0.00 Bohr magnetons per cell
space-group type = No. 123

***

[20]
DFT (GGA-PBE) results for a relaxed structure of UCuBiPd.

```
UCuBiPd
1.0
4.888 0.000 0.000
2.444 4.234 0.000
2.444 1.411 3.991
Cu U Bi Pd
1 1 1 1
Direct
0.750 0.750 0.750
0.500 0.500 0.500
0.000 0.000 0.000
0.250 0.250 0.250
```

electronic total energy = -6.16 eV/atom
total magnetic moment = 2.46 Bohr magnetons per cell
space-group type = No. 216